This record from Alexandria describes a crystal of BaCuPt2 relaxed with PBEsol. The functional is meta-GGA SCAN.

- ΔH_f (0 K): 118 meV/atom
- N(E_F): 3.709 states/eV per cell
- Energy: -194.7 eV/f.u.
- ΔE to the lowest computed polymorph: 66.8 kJ/mol of atoms

CIF file:
```
data_BaCuPt2
_chemical_formula_sum 'Ba2 Cu2 Pt4'
_cell_length_a 4.1980
_cell_length_b 4.1980
_cell_length_c 8.7625
_cell_angle_alpha 90.00
_cell_angle_beta 90.00
_cell_angle_gamma 90.00
_space_group_name_H-M_alt 'I 4/m m m'
_space_group_IT_number 139
_space_group_name_Hall '-I 4 2'
loop_
_atom_site_label
_atom_site_type_symbol
_atom_site_fract_x
_atom_site_fract_y
_atom_site_fract_z
Ba1 Ba 0.0000 0.0000 0.0000
Cu1 Cu 0.0000 0.0000 0.5000
Pt1 Pt 0.0000 0.5000 0.2500
```

=====

This record from Alexandria describes a crystal of Mg3TcOs relaxed with PBEsol. The functional is meta-GGA SCAN.

- ΔH_f (0 K): 1713 meV/atom
- N(E_F): 3.135 states/eV per cell
- Energy: -113.3 eV/f.u.

CIF file:
```
data_Mg3TcOs
_chemical_formula_sum 'Mg3 Tc1 Os1'
_cell_length_a 4.7617
_cell_length_b 4.7617
_cell_length_c 4.7617
_cell_angle_alpha 90.00
_cell_angle_beta 90.00
_cell_angle_gamma 90.00
_space_group_name_H-M_alt 'P m -3 m'
_space_group_IT_number 221
_space_group_name_Hall '-P 4 2 3'
loop_
_atom_site_label
_atom_site_type_symbol
_atom_site_fract_x
_atom_site_fract_y
_atom_site_fract_z
Mg1 Mg 0.0000 0.0000 0.5000
Tc1 Tc 0.0000 0.0000 0.0000
Os1 Os 0.5000 0.5000 0.5000
```

=====

The highest N(E_F) belongs to which entry? BaCuPt2